[1]
## Tm5PaCo3 (PBE-GGA)

Data for a relaxed Tm5PaCo3 crystal.

a b c (Å): 8.9305 10.2853 9.9736
angles (deg): 90.00 110.41 90.00
Space group C2/m (No. 12)
Asymmetric unit:
Tm (0.0000, 0.2376, 0.0000) (multiplicity 4)
Tm (0.0363, 0.2580, 0.3469) (multiplicity 8)
Tm (0.1982, 0.0000, 0.5738) (multiplicity 4)
Tm (0.2216, 0.5000, 0.0743) (multiplicity 4)
Pa (0.2328, 0.5000, 0.7451) (multiplicity 4)
Co (0.0000, 0.0000, 0.0000) (multiplicity 2)
Co (0.0000, 0.5000, 0.5000) (multiplicity 2)
Co (0.0013, 0.5000, 0.7961) (multiplicity 4)
Co (0.0196, 0.0000, 0.2674) (multiplicity 4)

Results
formation enthalpy at 0 K: -12 kJ per mole of atoms
raw total energy: -217.28 eV/cell



[2]
## TmPaCo (PBE-GGA)

Data for a relaxed TmPaCo crystal.

a b c (Å): 3.4045 3.4045 11.0219
angles (deg): 90.00 90.00 90.00
Space group I4mm (No. 107)
Asymmetric unit:
Tm (0.0000, 0.0000, 0.0000) (multiplicity 2)
Pa (0.0000, 0.0000, 0.2901) (multiplicity 2)
Co (0.0000, 0.0000, 0.6909) (multiplicity 2)

Results
formation enthalpy at 0 K: -14 kJ per mole of atoms
raw total energy: -43.01 eV/cell



[3]
## TmPaCo (PBE-GGA)

Data for a relaxed TmPaCo crystal.

a b c (Å): 6.4560 6.5604 7.5106
angles (deg): 90.00 122.69 90.00
Space group P2_1/c (No. 14)
Asymmetric unit:
Tm (0.2141, 0.1643, 0.4246) (multiplicity 4)
Pa (0.2693, 0.6734, 0.5945) (multiplicity 4)
Co (0.3067, 0.5361, 0.3087) (multiplicity 4)

Results
formation enthalpy at 0 K: -10 kJ per mole of atoms
raw total energy: -85.50 eV/cell